DFT (GGA-PBE) results for a relaxed Y2PuH crystal.

Properties
- Total magnetic moment: 5.7 μB/f.u.
- Energy above the most stable polymorph in this dataset: 0.281 eV/atom
- Fermi-level density of states: 2.32 states/eV/atom

Cell lengths 3.261, 3.261, 8.486 Å; angles 90.00, 90.00, 90.00 degrees
Space group P4/mmm (No. 123)
Asymmetric unit:
Y (0.000, 0.000, 0.195) x2
Pu (0.500, 0.500, 0.500) x1
H (0.500, 0.500, 0.000) x1

=====

DFT (GGA-PBE) results for a relaxed Li3Tb2NpS6 crystal.

Properties
- E_form (uncorrected): -1.664 eV/atom
- Total magnetic moment: 4.0 μB/f.u.
- Fermi-level density of states: 0.57 states/eV/atom

Cell lengths 6.830, 11.828, 6.578 Å; angles 90.00, 110.23, 90.00 degrees
Space group C2/m (No. 12)
Asymmetric unit:
Li (0.000, 0.000, 0.000) x2
Li (0.000, 0.332, 0.000) x4
Tb (0.000, 0.167, 0.500) x4
Np (0.000, 0.500, 0.500) x2
S (0.249, 0.000, 0.752) x4
S (0.249, 0.167, 0.248) x8

=====

DFT (GGA-PBE) results for a relaxed Cr2Rh crystal.

Properties
- Total magnetic moment: 6.7 μB/f.u.
- Formation enthalpy at 0 K: 771 meV/atom
- Fermi-level density of states: 1.75 states/eV/atom

Cell lengths 4.306, 4.306, 2.838 Å; angles 90.00, 90.00, 90.00 degrees
Space group P4/mmm (No. 123)
Asymmetric unit:
Cr (0.000, 0.500, 0.000) x2
Rh (0.000, 0.000, 0.500) x1

=====

DFT (GGA-PBE) results for a relaxed CaIrRh crystal.

Properties
- Total magnetic moment: 0.0 μB/f.u.
- Energy above the most stable polymorph in this dataset: 0.775 eV/atom
- Formation enthalpy at 0 K: 326 meV/atom
- Fermi-level density of states: 1.53 states/eV/atom

Cell lengths 2.9314, 2.9314, 6.9960 Å; angles 90.00, 90.00, 120.00 degrees
Space group P3m1 (No. 156)
Asymmetric unit:
Ca (0.0000, 0.0000, 0.0000) x1
Ir (0.6667, 0.3333, 0.3492) x1
Rh (0.3333, 0.6667, 0.6528) x1

=====

DFT (GGA-PBE) results for a relaxed PrGdP crystal.

Properties
- Total magnetic moment: 8.1 μB/f.u.
- Energy above the most stable polymorph in this dataset: 0.000 eV/atom
- Formation enthalpy at 0 K: -953 meV/atom
- Fermi-level density of states: 0.87 states/eV/atom

Cell lengths 3.9857, 3.9857, 6.6073 Å; angles 90.00, 90.00, 120.00 degrees
Space group P3m1 (No. 156)
Asymmetric unit:
Pr (0.0000, 0.0000, 0.0000) x1
Gd (0.3333, 0.6667, 0.4963) x1
P (0.6667, 0.3333, 0.2613) x1

=====

DFT (GGA-PBE) results for a relaxed SrV3Si crystal.

Properties
- E_form (uncorrected): 2.514 eV/atom
- Total magnetic moment: 0.0 μB/f.u.
- Energy above the most stable polymorph in this dataset: 1.753 eV/atom
- Fermi-level density of states: 1.70 states/eV/atom

Cell lengths 4.541, 4.541, 4.541 Å; angles 90.00, 90.00, 90.00 degrees
Space group Pm-3m (No. 221)
Asymmetric unit:
Sr (0.000, 0.000, 0.000) x1
V (0.000, 0.000, 0.500) x3
Si (0.500, 0.500, 0.500) x1

=====

DFT (GGA-PBE) results for a relaxed KTcNi crystal.

Properties
- Total magnetic moment: 0.0 μB/f.u.
- Energy above the most stable polymorph in this dataset: 0.074 eV/atom
- Formation enthalpy at 0 K: 499 meV/atom
- Fermi-level density of states: 0.79 states/eV/atom

Cell lengths 2.745, 4.404, 12.084 Å; angles 85.09, 88.58, 89.99 degrees
Space group P-1 (No. 2)
Asymmetric unit:
K (0.035, 0.208, 0.175) x2
Tc (0.009, 0.679, 0.418) x2
Ni (0.491, 0.815, 0.583) x2

=====

DFT (GGA-PBE) results for a relaxed KHg3F crystal.

Properties
- E_form (uncorrected): -0.583 eV/atom
- Total magnetic moment: 0.0 μB/f.u.
- Energy above the most stable polymorph in this dataset: 0.000 eV/atom
- Fermi-level density of states: 0.00 states/eV/atom

Cell lengths 5.568, 5.568, 5.568 Å; angles 90.00, 90.00, 90.00 degrees
Space group Pm-3m (No. 221)
Asymmetric unit:
K (0.000, 0.000, 0.000) x1
Hg (0.000, 0.500, 0.500) x3
F (0.500, 0.500, 0.500) x1

=====

What did the seventh record say?
DFT (GGA-PBE) results for a relaxed KTcNi crystal.

Properties
- Total magnetic moment: 0.0 μB/f.u.
- Energy above the most stable polymorph in this dataset: 0.074 eV/atom
- Formation enthalpy at 0 K: 499 meV/atom
- Fermi-level density of states: 0.79 states/eV/atom

Cell lengths 2.745, 4.404, 12.084 Å; angles 85.09, 88.58, 89.99 degrees
Space group P-1 (No. 2)
Asymmetric unit:
K (0.035, 0.208, 0.175) x2
Tc (0.009, 0.679, 0.418) x2
Ni (0.491, 0.815, 0.583) x2

=====

Which of these has the lowest Fermi-level density of states?
KHg3F